No. 1
# MnSnP2O8

A geometry-optimized MnSnP2O8 structure (GGA+U, Alexandria).

Cell lengths 4.7422, 4.7422, 22.2855 Å; angles 90.00, 90.00, 120.00 degrees
Space group R-3 (No. 148, hexagonal axes)
Symmetry-distinct sites (fractional):
Mn1 0.0000 0.0000 0.0000 [3 per cell]
Sn1 0.0000 0.0000 0.5000 [3 per cell]
P1 0.0000 0.0000 0.2603 [6 per cell]
O1 0.0000 0.0000 0.1910 [6 per cell]
O2 0.0081 0.3687 0.3852 [18 per cell]

Energy = -250.1 eV for the cell shown
Spin magnetization = 3.0 μB per formula unit
Crystal system = trigonal

---

No. 2
# MnSnP2O8

A geometry-optimized MnSnP2O8 structure (GGA+U, Alexandria).

Cell lengths 5.039, 6.091, 10.213 Å; angles 90.00, 90.67, 90.00 degrees
Space group P2_1/m (No. 11)
Symmetry-distinct sites (fractional):
Mn1 0.059 0.250 0.224 [2 per cell]
Sn1 0.447 0.250 0.718 [2 per cell]
P1 0.117 0.750 0.100 [2 per cell]
P2 0.406 0.750 0.591 [2 per cell]
O1 0.148 0.750 0.954 [2 per cell]
O2 0.182 0.250 0.865 [2 per cell]
O3 0.266 0.549 0.661 [4 per cell]
O4 0.269 0.554 0.172 [4 per cell]
O5 0.297 0.250 0.393 [2 per cell]
O6 0.320 0.750 0.444 [2 per cell]

Energy = -172.2 eV for the cell shown
Spin magnetization = 5.0 μB per formula unit
N(E_F) = 0.000 states/eV/atom
Crystal system = monoclinic

---

No. 3
# Mn5SnP6O24

A geometry-optimized Mn5SnP6O24 structure (GGA+U, Alexandria).

Cell lengths 8.6548, 8.6548, 21.3174 Å; angles 90.00, 90.00, 120.00 degrees
Space group R3 (No. 146, hexagonal axes)
Symmetry-distinct sites (fractional):
Mn1 0.0000 0.0000 0.0000 [3 per cell]
Mn2 0.0000 0.0000 0.1409 [3 per cell]
Mn3 0.0000 0.0000 0.5008 [3 per cell]
Mn4 0.0000 0.0000 0.6438 [3 per cell]
Mn5 0.0000 0.0000 0.7891 [3 per cell]
Sn1 0.0000 0.0000 0.2887 [3 per cell]
P1 0.0023 0.2979 0.3967 [9 per cell]
P2 0.0455 0.6683 0.5609 [9 per cell]
O1 0.9997 0.8029 0.9551 [9 per cell]
O2 0.0107 0.2094 0.3348 [9 per cell]
O3 0.0121 0.1812 0.0659 [9 per cell]
O4 0.0195 0.8331 0.5663 [9 per cell]
O5 0.1385 0.4644 0.1222 [9 per cell]
O6 0.1419 0.6685 0.5004 [9 per cell]
O7 0.1710 0.6928 0.8877 [9 per cell]
O8 0.1739 0.4871 0.3919 [9 per cell]

Energy = -789.7 eV for the cell shown
Spin magnetization = 1.0 μB per formula unit
N(E_F) = 0.184 states/eV/atom
Crystal system = trigonal

---

No. 4
# Mn3VSn2P6O24

A geometry-optimized Mn3VSn2P6O24 structure (GGA+U, Alexandria).

Cell lengths 8.6801, 8.6801, 22.0769 Å; angles 90.00, 90.00, 120.00 degrees
Space group R3 (No. 146, hexagonal axes)
Symmetry-distinct sites (fractional):
Mn1 0.0000 0.0000 0.0000 [3 per cell]
Mn2 0.0000 0.0000 0.2016 [3 per cell]
Mn3 0.0000 0.0000 0.6974 [3 per cell]
V1 0.0000 0.0000 0.4948 [3 per cell]
Sn1 0.0000 0.0000 0.3465 [3 per cell]
Sn2 0.0000 0.0000 0.8484 [3 per cell]
P1 0.0007 0.2959 0.5929 [9 per cell]
P2 0.0420 0.6700 0.7717 [9 per cell]
O1 0.0002 0.7866 0.0444 [9 per cell]
O2 0.0046 0.8231 0.4394 [9 per cell]
O3 0.0160 0.8196 0.1607 [9 per cell]
O4 0.0393 0.8495 0.7808 [9 per cell]
O5 0.1189 0.4500 0.3204 [9 per cell]
O6 0.1549 0.4728 0.2052 [9 per cell]
O7 0.1597 0.4901 0.9269 [9 per cell]
O8 0.1788 0.4775 0.5826 [9 per cell]

Energy = -780.8 eV for the cell shown
Spin magnetization = 14.0 μB per formula unit
Crystal system = trigonal

---

No. 5
# SrMnP2O8

A geometry-optimized SrMnP2O8 structure (GGA+U, Alexandria).

Cell lengths 4.8430, 4.8430, 7.3504 Å; angles 90.00, 90.00, 120.00 degrees
Space group P-3 (No. 147)
Symmetry-distinct sites (fractional):
Sr1 0.0000 0.0000 0.0000 [1 per cell]
Mn1 0.0000 0.0000 0.5000 [1 per cell]
P1 0.3333 0.6667 0.7252 [2 per cell]
O1 0.0564 0.3368 0.6612 [6 per cell]
O2 0.3333 0.6667 0.9331 [2 per cell]

Energy = -86.4 eV for the cell shown
Spin magnetization = 2.9 μB per formula unit
Crystal system = trigonal

---

No. 6
# SrMnPO4

A geometry-optimized SrMnPO4 structure (GGA+U, Alexandria).

Cell lengths 8.226, 8.226, 8.226 Å; angles 90.00, 90.00, 90.00 degrees
Space group F-43m (No. 216)
Symmetry-distinct sites (fractional):
Sr1 0.000 0.000 0.000 [4 per cell]
Mn1 0.250 0.250 0.250 [4 per cell]
P1 0.000 0.000 0.500 [4 per cell]
O1 0.109 0.109 0.391 [16 per cell]

Energy = -190.9 eV for the cell shown
Spin magnetization = 5.0 μB per formula unit
N(E_F) = 0.092 states/eV/atom
Crystal system = cubic

---

No. 7
# SrMnP2O7

A geometry-optimized SrMnP2O7 structure (GGA+U, Alexandria).

Cell lengths 5.443, 8.531, 14.053 Å; angles 90.00, 112.34, 90.00 degrees
Space group P2_1/c (No. 14)
Symmetry-distinct sites (fractional):
Sr1 0.012 0.170 0.226 [4 per cell]
Mn1 0.282 0.648 0.601 [4 per cell]
P1 0.329 0.208 0.023 [4 per cell]
P2 0.428 0.033 0.672 [4 per cell]
O1 0.118 0.203 0.913 [4 per cell]
O2 0.217 0.058 0.718 [4 per cell]
O3 0.245 0.105 0.096 [4 per cell]
O4 0.307 0.613 0.764 [4 per cell]
O5 0.319 0.111 0.558 [4 per cell]
O6 0.386 0.673 0.467 [4 per cell]
O7 0.480 0.639 0.156 [4 per cell]

Energy = -327.9 eV for the cell shown
Spin magnetization = 5.0 μB per formula unit
N(E_F) = 0.000 states/eV/atom
Crystal system = monoclinic

---

No. 8
# SrMnP2O8

A geometry-optimized SrMnP2O8 structure (GGA+U, Alexandria).

Cell lengths 5.943, 7.083, 8.990 Å; angles 109.70, 102.57, 99.90 degrees
Space group P-1 (No. 2)
Symmetry-distinct sites (fractional):
Sr1 0.238 0.232 0.456 [2 per cell]
Mn1 0.191 0.826 0.047 [2 per cell]
P1 0.115 0.573 0.268 [2 per cell]
P2 0.353 0.021 0.798 [2 per cell]
O1 0.071 0.394 0.094 [2 per cell]
O2 0.098 0.454 0.667 [2 per cell]
O3 0.146 0.783 0.237 [2 per cell]
O4 0.160 0.930 0.869 [2 per cell]
O5 0.222 0.010 0.631 [2 per cell]
O6 0.345 0.570 0.381 [2 per cell]
O7 0.436 0.088 0.203 [2 per cell]
O8 0.490 0.756 0.070 [2 per cell]

Energy = -171.5 eV for the cell shown
Spin magnetization = 3.0 μB per formula unit
N(E_F) = 0.020 states/eV/atom
Crystal system = triclinic

---

No. 9
# SrMnZnP2O8

A geometry-optimized SrMnZnP2O8 structure (GGA+U, Alexandria).

Cell lengths 5.533, 7.028, 9.541 Å; angles 107.72, 105.48, 97.91 degrees
Space group P-1 (No. 2)
Symmetry-distinct sites (fractional):
Sr1 0.195 0.253 0.455 [2 per cell]
Mn1 0.068 0.775 0.940 [2 per cell]
Zn1 0.351 0.232 0.857 [2 per cell]
P1 0.166 0.695 0.277 [2 per cell]
P2 0.463 0.780 0.799 [2 per cell]
O1 0.024 0.308 0.882 [2 per cell]
O2 0.101 0.476 0.280 [2 per cell]
O3 0.111 0.856 0.407 [2 per cell]
O4 0.254 0.086 0.139 [2 per cell]
O5 0.263 0.921 0.803 [2 per cell]
O6 0.400 0.631 0.633 [2 per cell]
O7 0.430 0.672 0.918 [2 per cell]
O8 0.453 0.753 0.285 [2 per cell]

Energy = -182.0 eV for the cell shown
Spin magnetization = 5.0 μB per formula unit
N(E_F) = 0.000 states/eV/atom
Crystal system = triclinic

---

No. 10
# SrMnZnP2O8

A geometry-optimized SrMnZnP2O8 structure (GGA+U, Alexandria).

Cell lengths 6.528, 7.821, 8.573 Å; angles 102.64, 111.47, 105.28 degrees
Space group P-1 (No. 2)
Symmetry-distinct sites (fractional):
Sr1 0.223 0.170 0.308 [2 per cell]
Mn1 0.302 0.493 0.695 [2 per cell]
Zn1 0.344 0.788 0.087 [2 per cell]
P1 0.193 0.323 0.924 [2 per cell]
P2 0.249 0.799 0.697 [2 per cell]
O1 0.015 0.747 0.527 [2 per cell]
O2 0.067 0.816 0.153 [2 per cell]
O3 0.190 0.518 0.902 [2 per cell]
O4 0.215 0.869 0.868 [2 per cell]
O5 0.323 0.262 0.812 [2 per cell]
O6 0.331 0.347 0.121 [2 per cell]
O7 0.400 0.532 0.494 [2 per cell]
O8 0.465 0.952 0.706 [2 per cell]

Energy = -173.9 eV for the cell shown
Spin magnetization = 4.0 μB per formula unit
Crystal system = triclinic

---

No. 11
# TaMnP2O

A geometry-optimized TaMnP2O structure (GGA+U, Alexandria).

Cell lengths 4.947, 4.947, 3.857 Å; angles 90.00, 90.00, 90.00 degrees
Space group P4/mmm (No. 123)
Symmetry-distinct sites (fractional):
Ta1 0.000 0.000 0.000 [1 per cell]
Mn1 0.500 0.500 0.500 [1 per cell]
P1 0.000 0.500 0.000 [2 per cell]
O1 0.000 0.000 0.500 [1 per cell]

Energy = -37.5 eV for the cell shown
Spin magnetization = 4.5 μB per formula unit
N(E_F) = 0.472 states/eV/atom
Crystal system = tetragonal

---

No. 12
# TaMnPO2

A geometry-optimized TaMnPO2 structure (GGA+U, Alexandria).

Cell lengths 3.686, 3.686, 5.057 Å; angles 90.00, 90.00, 90.00 degrees
Space group P4/mmm (No. 123)
Symmetry-distinct sites (fractional):
Ta1 0.000 0.000 0.000 [1 per cell]
Mn1 0.500 0.500 0.500 [1 per cell]
P1 0.500 0.500 0.000 [1 per cell]
O1 0.000 0.500 0.500 [2 per cell]

Energy = -36.4 eV for the cell shown
Spin magnetization = 4.6 μB per formula unit
N(E_F) = 0.577 states/eV/atom
Crystal system = tetragonal

---

> Among the records above, which one has the highest spin magnetization?

Mn3VSn2P6O24